Entry 1:
5
Lattice="5.4311 0.0000 0.0000 0.0000 5.4311 0.0000 0.0000 0.0000 5.4871" Properties=species:S:1:pos:R:3 comment="ScSnAsBr2, optimized geometry, DFT GGA-PBE" sg="No. 123" de_polymorph_mev_per_atom=661 e_form_raw_ev_per_atom=0.105 energy_ev_per_atom=-3.561 pbc="T T T"
Br 2.7155 0.0000 0.0000
Br 0.0000 2.7155 0.0000
As 0.0000 0.0000 2.7436
Sc 2.7155 2.7155 2.7436
Sn 0.0000 0.0000 0.0000

Entry 2:
15
Lattice="7.7923 0.0000 0.0000 -3.8962 6.7485 -0.0246 0.0000 -4.4753 6.8045" Properties=species:S:1:pos:R:3 comment="Na3Tb3TaS8, optimized geometry, DFT GGA-PBE" sg="No. 166" e_form_raw_ev_per_atom=-1.624 energy_ev_per_atom=-5.805 pbc="T T T"
S 6.0015 -1.2097 1.9458
S 3.8962 2.4364 1.9318
S 3.8962 0.0177 4.9596
S 1.7909 -1.2097 1.9458
S -2.1053 3.4829 4.8341
S 0.0000 2.2555 1.8203
S 2.1053 3.4829 4.8341
S 0.0000 -0.1632 4.8481
Na 1.9481 3.3743 -0.0123
Na -1.9481 3.3743 -0.0123
Na 0.0000 0.0000 0.0000
Ta 0.0000 -2.2377 3.4022
Tb 1.9481 1.1366 3.3899
Tb -1.9481 1.1366 3.3899
Tb 3.8962 -2.2377 3.4022

Entry 3:
18
Lattice="-2.1194 -3.2638 0.9381 9.1270 -1.9138 5.4216 -4.7633 6.0073 10.1393" Properties=species:S:1:pos:R:3 comment="Rb2MgInCl5, optimized geometry, DFT GGA-PBE" sg="No. 36" e_form_raw_ev_per_atom=-1.644 energy_ev_per_atom=-3.366 pbc="T T T"
Cl -0.9265 0.2874 7.4477
Cl 1.6919 -0.7206 1.3155
Cl -4.7551 3.0454 8.3935
Cl 2.8780 -1.3826 10.2331
Cl 1.8553 -2.3745 4.4714
Cl 1.4597 1.8539 9.7484
Cl 5.5015 -2.3971 4.0899
Cl 2.7295 0.2611 7.0754
Cl 6.7127 -1.8541 8.7157
Cl -1.6591 2.0492 11.9224
Mg 0.9411 -0.5337 8.8105
Mg 3.6346 -1.5768 2.7258
In -0.9522 -1.6620 0.6070
In 5.5366 -0.4594 10.9109
Rb -1.3855 3.4320 8.8108
Rb 3.9030 -2.9469 7.1065
Rb 1.1577 0.4888 12.8576
Rb 0.6974 0.8319 4.4700

Entry 4:
4
Lattice="0.0000 3.4472 3.4472 3.4472 0.0000 3.4472 3.4472 3.4472 0.0000" Properties=species:S:1:pos:R:3 comment="SnSbP2, optimized geometry, DFT GGA-PBE" sg="No. 225" de_polymorph_mev_per_atom=337 e_form_raw_ev_per_atom=0.415 energy_ev_per_atom=-4.322 pbc="T T T"
Sn 0.0000 0.0000 0.0000
Sb 3.4472 3.4472 3.4472
P 5.1709 5.1709 5.1709
P 1.7236 1.7236 1.7236